# 1
Material: Au2ICl
Method: DFT, PBE-GGA
State: optimized geometry

Unit cell a=7.1922 b=7.1922 c=7.1922 alpha=90.00 beta=90.00 gamma=90.00
Space group Fm-3m (No. 225)
Symmetry-distinct sites (fractional):
Au1 0.2500 0.2500 0.2500 (multiplicity 8)
I1 0.0000 0.0000 0.0000 (multiplicity 4)
Cl1 0.0000 0.0000 0.5000 (multiplicity 4)

Formation energy from raw total energies: 0.408 eV per atom
Energy relative to the lowest polymorph listed for this composition: 321 meV/atom

# 2
Material: Sm2UCo3
Method: DFT, PBE-GGA
State: optimized geometry

Unit cell a=5.1218 b=11.1183 c=4.0405 alpha=90.00 beta=90.00 gamma=90.00
Space group Pnnm (No. 58)
Symmetry-distinct sites (fractional):
Sm1 0.1945 0.2015 0.0000 (multiplicity 4)
U1 0.0000 0.5000 0.0000 (multiplicity 2)
Co1 0.0000 0.0000 0.5000 (multiplicity 2)
Co2 0.2094 0.4268 0.5000 (multiplicity 4)

Energy: -7.17 eV/atom

# 3
Material: TaNbH
Method: DFT, PBE-GGA
State: optimized geometry

Unit cell a=2.9228 b=4.8270 c=2.9480 alpha=90.00 beta=109.12 gamma=90.00
Space group P2 (No. 3)
Symmetry-distinct sites (fractional):
Ta1 0.0000 0.0000 0.0000 (multiplicity 1)
Nb1 0.5000 0.4720 0.5000 (multiplicity 1)
H1 0.5000 0.7374 0.0000 (multiplicity 1)

Energy relative to the lowest polymorph listed for this composition: 0 meV/atom

# 4
Material: InFeSnIr2
Method: DFT, PBE-GGA
State: optimized geometry

Unit cell a=4.8646 b=4.8646 c=5.3245 alpha=90.00 beta=90.00 gamma=90.00
Space group P4/mmm (No. 123)
Symmetry-distinct sites (fractional):
In1 0.0000 0.0000 0.0000 (multiplicity 1)
Fe1 0.5000 0.5000 0.0000 (multiplicity 1)
Sn1 0.0000 0.0000 0.5000 (multiplicity 1)
Ir1 0.0000 0.5000 0.5000 (multiplicity 2)

Energy: -4.54 eV/atom

| no. | volume (Å³ per cell) |
| --- | --- |
| 1 | 372.04 |
| 2 | 230.09 |
| 3 | 39.30 |
| 4 | 126.00 |